Here is an optimized crystal structure of Th2Te3Se from the Alexandria database. Energies are from PBE.

Computed properties:
Final energy (eV per atom): -5.8919
Energy relative to the elements, uncorrected (eV/f.u.): -7.6

The structure in POSCAR format:
```
Th2Te3Se
1.0
8.7004 -2.6177 0.0000
8.7004 2.6177 0.0000
-1.6262 0.0000 8.9598
Th Te Se
4 6 2
direct
0.1133 0.1133 0.3850
0.3755 0.3755 0.1357
0.6245 0.6245 0.8643
0.8867 0.8867 0.6150
0.1833 0.1833 0.0613
0.3095 0.3095 0.4372
0.4393 0.4393 0.8120
0.5607 0.5607 0.1880
0.6905 0.6905 0.5628
0.8167 0.8167 0.9387
0.0631 0.0631 0.6840
0.9369 0.9369 0.3160
```

***

Here is an optimized crystal structure of SbAsCl2 from the Alexandria database. Energies are from PBE.

Computed properties:
Final energy (eV per atom): -3.1929
E above lowest polymorph (meV per atom): 358.5
Energy relative to the elements, uncorrected (eV/f.u.): -0.3

The structure in POSCAR format:
```
SbAsCl2
1.0
1.6639 0.9606 9.7475
-1.6639 0.9606 9.7475
0.0000 -1.9213 9.7475
Sb As Cl
1 1 2
direct
0.0000 0.0000 0.0000
0.5000 0.5000 0.5000
0.4158 0.4158 0.4158
0.5842 0.5842 0.5842
```

***

Here is an optimized crystal structure of PPdF from the Alexandria database. Energies are from PBE.

Computed properties:
Final energy (eV per atom): -4.9894
Energy relative to the elements, uncorrected (eV/f.u.): -2.5

The structure in POSCAR format:
```
PPdF
1.0
4.2545 0.0000 0.0000
0.0823 5.1037 0.0000
0.8559 2.3718 4.4464
P Pd F
2 2 2
direct
0.0000 0.0000 0.0000
0.3399 0.3719 0.9075
0.2819 0.5535 0.2341
0.6837 0.2085 0.6323
0.1912 0.6590 0.6336
0.7658 0.9713 0.3179
```

***

Here is an optimized crystal structure of YTl2IO6 from the Alexandria database. Energies are from PBE.

Computed properties:
Final energy (eV per atom): -5.4966
Energy relative to the elements, uncorrected (eV/f.u.): -12.5

The structure in POSCAR format:
```
YTl2IO6
1.0
3.1106 1.7959 9.9731
-3.1106 1.7959 9.9731
0.0000 -3.5918 9.9731
Y Tl I O
2 4 2 12
direct
0.1026 0.1026 0.1026
0.8974 0.8974 0.8974
0.2380 0.2380 0.2380
0.3684 0.3684 0.3684
0.6316 0.6316 0.6316
0.7620 0.7620 0.7620
0.0000 0.0000 0.0000
0.5000 0.5000 0.5000
0.1007 0.1007 0.6798
0.1007 0.6798 0.1007
0.2470 0.6812 0.6812
0.3188 0.3188 0.7530
0.3188 0.7530 0.3188
0.3202 0.8993 0.8993
0.6798 0.1007 0.1007
0.6812 0.2470 0.6812
0.6812 0.6812 0.2470
0.7530 0.3188 0.3188
0.8993 0.3202 0.8993
0.8993 0.8993 0.3202
```

***

Here is an optimized crystal structure of YSc4Si4 from the Alexandria database. Energies are from PBE.

Computed properties:
Final energy (eV per atom): -6.4668
Energy relative to the elements, uncorrected (eV/f.u.): -4.7

The structure in POSCAR format:
```
YSc4Si4
1.0
8.7433 0.0000 0.0000
0.0000 8.7433 0.0000
0.0000 0.0000 5.3609
Y Sc Si
2 8 8
direct
0.2500 0.2500 0.2500
0.7500 0.7500 0.7500
0.1038 0.6390 0.1298
0.1390 0.8962 0.6298
0.3610 0.6038 0.6298
0.3962 0.8610 0.1298
0.6038 0.1390 0.8702
0.6390 0.3962 0.3702
0.8610 0.1038 0.3702
0.8962 0.3610 0.8702
0.0477 0.5953 0.6393
0.0953 0.9523 0.1393
0.4047 0.5477 0.1393
0.4523 0.9047 0.6393
0.5477 0.0953 0.3607
0.5953 0.4523 0.8607
0.9047 0.0477 0.8607
0.9523 0.4047 0.3607
```

***

Here is an optimized crystal structure of Tb2Ti2AlRh5 from the Alexandria database. Energies are from PBE.

Computed properties:
Final energy (eV per atom): -7.2349

The structure in POSCAR format:
```
Tb2Ti2AlRh5
1.0
10.5004 0.0000 0.0000
0.0000 10.5004 0.0000
0.0000 0.0000 3.1301
Tb Ti Al Rh
4 4 2 10
direct
0.1734 0.3266 0.0000
0.3266 0.8266 0.0000
0.6734 0.1734 0.0000
0.8266 0.6734 0.0000
0.1341 0.6341 0.0000
0.3659 0.1341 0.0000
0.6341 0.8659 0.0000
0.8659 0.3659 0.0000
0.0000 0.0000 0.0000
0.5000 0.5000 0.0000
0.0000 0.5000 0.5000
0.0504 0.8052 0.5000
0.1948 0.0504 0.5000
0.3052 0.5504 0.5000
0.4496 0.3052 0.5000
0.5000 0.0000 0.5000
0.5504 0.6948 0.5000
0.6948 0.4496 0.5000
0.8052 0.9496 0.5000
0.9496 0.1948 0.5000
```

***

Here is an optimized crystal structure of TcNiB3 from the Alexandria database. Energies are from PBE.

Computed properties:
Final energy (eV per atom): -6.1226
E above lowest polymorph (meV per atom): 0.0

The structure in POSCAR format:
```
TcNiB3
1.0
3.6849 0.0000 0.0000
0.0000 3.6849 0.0000
0.0000 0.0000 3.6849
Tc Ni B
1 1 3
direct
0.0000 0.0000 0.0000
0.5000 0.5000 0.5000
0.0000 0.5000 0.5000
0.5000 0.0000 0.5000
0.5000 0.5000 0.0000
```

***

Here is an optimized crystal structure of PmNpTe2Se from the Alexandria database. Energies are from PBE.

Computed properties:
Final energy (eV per atom): -6.5518
Energy relative to the elements, uncorrected (eV/f.u.): -5.3

The structure in POSCAR format:
```
PmNpTe2Se
1.0
4.3742 0.0000 0.0000
0.0000 4.3742 0.0000
0.0000 0.0000 15.6611
Pm Np Te Se
2 2 4 2
direct
0.2500 0.2500 0.1315
0.7500 0.7500 0.8685
0.2500 0.2500 0.5914
0.7500 0.7500 0.4086
0.2500 0.2500 0.3892
0.2500 0.2500 0.7926
0.7500 0.7500 0.2074
0.7500 0.7500 0.6108
0.2500 0.7500 0.0000
0.7500 0.2500 0.0000
```

***

Here is an optimized crystal structure of Ba2InBS5 from the Alexandria database. Energies are from PBE.

Computed properties:
Final energy (eV per atom): -4.8894
Energy relative to the elements, uncorrected (eV/f.u.): -10.1

The structure in POSCAR format:
```
Ba2InBS5
1.0
1.9915 -8.7577 0.0000
1.9915 8.7577 0.0000
0.0000 0.0000 13.2318
Ba In B S
4 2 2 10
direct
0.1260 0.8740 0.5000
0.1285 0.8715 0.1490
0.8715 0.1285 0.6490
0.8740 0.1260 0.0000
0.1920 0.8080 0.8516
0.8080 0.1920 0.3516
0.4287 0.5713 0.2086
0.5713 0.4287 0.7086
0.0509 0.9491 0.7988
0.3089 0.6911 0.4798
0.3238 0.6762 0.1885
0.3343 0.6657 0.8245
0.4944 0.5056 0.1002
0.5056 0.4944 0.6002
0.6657 0.3343 0.3245
0.6762 0.3238 0.6885
0.6911 0.3089 0.9798
0.9491 0.0509 0.2988
```

***

Here is an optimized crystal structure of PrTmPb2 from the Alexandria database. Energies are from PBE.

Computed properties:
Final energy (eV per atom): -4.6133

The structure in POSCAR format:
```
PrTmPb2
1.0
3.5749 0.0000 0.0000
0.0000 3.5749 0.0000
0.0000 0.0000 9.0859
Pr Tm Pb
1 1 2
direct
0.0000 0.0000 0.0000
0.0000 0.0000 0.5000
0.5000 0.5000 0.2623
0.5000 0.5000 0.7377
```

***

Here is an optimized crystal structure of BaMnP from the Alexandria database. Energies are from PBE.

Computed properties:
Final energy (eV per atom): -5.9869

The structure in POSCAR format:
```
BaMnP
1.0
4.2746 0.0000 0.0000
-2.1373 3.7019 0.0000
0.0000 0.0000 4.8617
Ba Mn P
1 1 1
direct
0.0000 0.0000 0.0000
0.3333 0.6667 0.5000
0.6667 0.3333 0.5000
```

***

Here is an optimized crystal structure of NaCe2Np3Se6 from the Alexandria database. Energies are from PBE.

Computed properties:
Final energy (eV per atom): -7.4467
Energy relative to the elements, uncorrected (eV/f.u.): -16.4

The structure in POSCAR format:
```
NaCe2Np3Se6
1.0
9.0619 -2.0760 0.0000
9.0619 2.0760 0.0000
-1.9018 0.0000 8.1162
Na Ce Np Se
1 2 3 6
direct
0.0000 0.0000 0.0000
0.3333 0.3333 0.6675
0.6667 0.6667 0.3325
0.0000 0.0000 0.5000
0.3326 0.3326 0.1694
0.6674 0.6674 0.8306
0.1641 0.1641 0.5868
0.1667 0.1667 0.0759
0.4983 0.4983 0.2535
0.5017 0.5017 0.7465
0.8333 0.8333 0.9241
0.8359 0.8359 0.4132
```

***

Question: Which of these has the lowest final energy?
Answer: NaCe2Np3Se6

***

Question: Look up the final energy of the fifth one.
Answer: -6.4668 eV per atom